This record from Alexandria via LeMat-Bulk describes an optimized crystal structure of RbCuGe2. The functional is GGA-PBE.

Lattice parameters (Å, degrees): 3.4292 3.4292 7.8028 90.00 90.00 90.00
Last column: nearest neighbours and their distance in Å.
Element x y z (fractional)
Rb (0.5000, 0.5000, 0.5000)  4 Rb 3.43, 8 Ge 3.60
Ge (0.0000, 0.0000, 0.8403)  1 Ge 2.49, 4 Cu 2.73
Ge (0.0000, 0.0000, 0.1597)  1 Ge 2.49, 4 Cu 2.73
Cu (0.5000, 0.5000, 0.0000)  8 Ge 2.73

## Properties
- ΔH_f (0 K): 0.12 eV per atom
- Distance to the lowest polymorph of the same formula: 4.14 kcal/mol of atoms